NaTlHg: relaxed, PBE.

Unit cell a=5.2767 b=5.2728 c=6.8742 alpha=89.97 beta=90.00 gamma=120.02
Closest atoms and distances in Å follow each position.
Fractional coordinates of all 6 atoms:
Na 0.3329 0.6658 0.3819  3 Hg 3.15, 2 Tl 3.41-3.47, 3 Na 3.45-3.46
Na 0.6671 0.3342 0.6181  3 Hg 3.15, 2 Tl 3.41-3.47, 3 Na 3.45-3.46
Tl 0.3337 0.6674 0.8865  3 Hg 3.21-3.22, 5 Na 3.41-3.56, 3 Tl 3.42
Tl 0.6663 0.3326 0.1135  3 Hg 3.21-3.22, 5 Na 3.41-3.56, 3 Tl 3.42
Hg 0.9993 0.9987 0.2643  3 Na 3.15, 3 Tl 3.21-3.22, 1 Hg 3.24
Hg 0.0007 0.0013 0.7357  3 Na 3.15, 3 Tl 3.21-3.22, 1 Hg 3.24

Values from the calculation:
DFT total energy   -8.8 eV for the cell shown
Formation enthalpy at 0 K   -13.85 kJ per mole of atoms
DOS(E_F)   2.22 states/eV per cell

---

CaZrCo2: relaxed, PBE.

Unit cell a=4.5498 b=4.5498 c=4.5498 alpha=60.00 beta=60.00 gamma=60.00
Closest atoms and distances in Å follow each position.
Fractional coordinates of all 4 atoms:
Co 0.2500 0.2500 0.2500  4 Co 2.79, 4 Ca 2.79
Co 0.0000 0.0000 0.0000  4 Zr 2.79, 4 Co 2.79
Ca 0.5000 0.5000 0.5000  4 Zr 2.79, 4 Co 2.79
Zr 0.7500 0.7500 0.7500  4 Ca 2.79, 4 Co 2.79

Values from the calculation:
DFT total energy   -22.9 eV for the cell shown
Formation enthalpy at 0 K   45.28 kJ per mole of atoms
DOS(E_F)   5.41 states/eV per cell

---

BHRh4: relaxed, PBE.

Unit cell a=5.0323 b=5.0244 c=6.3636 alpha=104.82 beta=104.87 gamma=110.59
Closest atoms and distances in Å follow each position.
Fractional coordinates of all 12 atoms:
Rh 0.8231 0.0659 0.6313  2 H 2.04-2.14, 2 B 2.10-2.11
Rh 0.1769 0.9341 0.3687  2 H 2.04-2.14, 2 B 2.10-2.11
Rh 0.4353 0.1862 0.8908  1 H 1.94, 1 B 2.06
Rh 0.0445 0.2955 0.1092  1 H 1.94, 1 B 2.06
Rh 0.3082 0.5653 0.6313  2 H 2.04-2.14, 2 B 2.10-2.11
Rh 0.9555 0.7045 0.8908  1 H 1.94, 1 B 2.06
Rh 0.6918 0.4347 0.3687  2 H 2.04-2.14, 2 B 2.10-2.11
Rh 0.5647 0.8138 0.1092  1 H 1.94, 1 B 2.06
H 0.9243 0.1743 0.3486  6 Rh 1.94-2.14
H 0.0757 0.8257 0.6514  6 Rh 1.94-2.14
B 0.4306 0.6806 0.3611  6 Rh 2.06-2.11
B 0.5694 0.3194 0.6389  6 Rh 2.06-2.11

Values from the calculation:
DFT total energy   -79.8 eV for the cell shown
DOS(E_F)   18.92 states/eV per cell

---

Mo2HRuRh: relaxed, PBE.

Unit cell a=3.9820 b=3.9820 c=3.8836 alpha=90.00 beta=90.00 gamma=90.00
Closest atoms and distances in Å follow each position.
Fractional coordinates of all 5 atoms:
Mo 0.5000 0.0000 0.0000  2 H 1.99
Mo 0.0000 0.5000 0.0000  2 H 1.99
Rh 0.5000 0.5000 0.5000  8 Mo 2.78, 4 Ru 2.82
Ru 0.0000 0.0000 0.5000  2 H 1.94
H 0.0000 0.0000 0.0000  2 Ru 1.94, 4 Mo 1.99

Values from the calculation:
DFT total energy   -41.9 eV for the cell shown
DOS(E_F)   2.97 states/eV per cell

---

AlTe2Br: relaxed, PBE.

Unit cell a=5.3772 b=5.3772 c=5.0468 alpha=71.22 beta=71.22 gamma=106.45
Closest atoms and distances in Å follow each position.
Fractional coordinates of all 4 atoms:
Br 0.0000 0.5000 0.5000  4 Te 3.04, 2 Al 3.22
Te 0.0000 0.0000 0.0000  2 Br 3.04, 2 Al 3.04, 2 Te 3.22
Te 0.5000 0.5000 0.0000  2 Al 3.04, 2 Br 3.04, 2 Te 3.22
Al 0.5000 0.0000 0.5000  4 Te 3.04, 2 Br 3.22

Values from the calculation:
DFT total energy   -11.2 eV for the cell shown
E_form (uncorrected)   45 kJ/mol of formula units
DOS(E_F)   2.23 states/eV per cell

---

BiAsIr: relaxed, PBE.

Unit cell a=3.9399 b=6.8450 c=6.6118 alpha=53.98 beta=72.79 gamma=73.40
Closest atoms and distances in Å follow each position.
Fractional coordinates of all 6 atoms:
Ir 0.7688 0.3145 0.1487  3 As 2.47-2.48
Ir 0.2312 0.6855 0.8513  3 As 2.47-2.48
As 0.6052 0.7337 0.0572  3 Ir 2.47-2.48
As 0.3948 0.2663 0.9428  3 Ir 2.47-2.48
Bi 0.1349 0.2046 0.5283  3 Ir 2.85-2.87
Bi 0.8651 0.7954 0.4717  3 Ir 2.85-2.87

Values from the calculation:
DFT total energy   -35.8 eV for the cell shown
Formation enthalpy at 0 K   -16.66 kJ per mole of atoms
DOS(E_F)   2.56 states/eV per cell

---

CeUSeS2: relaxed, PBE.

Unit cell a=4.3369 b=4.3369 c=7.1303 alpha=107.71 beta=107.71 gamma=90.00
Closest atoms and distances in Å follow each position.
Fractional coordinates of all 5 atoms:
Ce 0.8798 0.8798 0.7597  4 S 2.77
S 0.2466 0.7466 0.4931  2 U 2.69, 2 Ce 2.77
S 0.7466 0.2466 0.4931  2 U 2.69, 2 Ce 2.77
Se 0.5035 0.5035 0.0071  4 U 3.43, 4 Ce 3.46, 4 S 3.81
U 0.1235 0.1235 0.2470  4 S 2.69

Values from the calculation:
DFT total energy   -35.3 eV for the cell shown
E_form (uncorrected)   -616 kJ/mol of formula units
DOS(E_F)   8.99 states/eV per cell

---

K2TaSb: relaxed, PBE.

Unit cell a=6.9523 b=6.9523 c=6.9523 alpha=144.02 beta=128.09 gamma=64.78
Closest atoms and distances in Å follow each position.
Fractional coordinates of all 4 atoms:
K 0.7157 0.2157 0.5000  4 Sb 3.75-4.13, 4 K 3.84-4.14, 4 Ta 3.90
K 0.0168 0.0168 0.0000  4 Sb 3.80, 4 K 3.84-4.14, 4 Ta 3.87-4.09
Ta 0.3134 0.8134 0.5000  2 Sb 2.71
Sb 0.4541 0.4541 0.0000  2 Ta 2.71

Values from the calculation:
DFT total energy   -15.5 eV for the cell shown
E_form (uncorrected)   254 kJ/mol of formula units
DOS(E_F)   3.58 states/eV per cell

---

Q: Look up the DFT total energy of the sixth one.
A: -35.8 eV for the cell shown

---

Q: Among the records above, which one has the lowest DOS(E_F)?
A: NaTlHg

---

Q: Which value of DFT total energy does entry 4 give?
A: -41.9 eV for the cell shown

---

Q: DOS(E_F) of number 2 (CaZrCo2)?
A: 5.41 states/eV per cell